Density functional theory data (GGA-PBE) for a geometry-optimized NaPa2H structure.

Values from the calculation:
E: -5.75 eV per atom
Total magnetic moment: 0.00 μB/atom

a b c (Å): 3.1571 3.1571 10.2004
angles (deg): 81.10 81.10 60.00
Closest atoms and distances in Å follow each position.
Positions (direct):
Na (0.0000, 0.0000, 0.0000)  6 Na 3.16, 2 Pa 3.46
Pa (0.8849, 0.8849, 0.3452)  3 H 2.40
Pa (0.1151, 0.1151, 0.6548)  3 H 2.40
H (0.5000, 0.5000, 0.5000)  6 Pa 2.40

Density functional theory data (GGA-PBE) for a geometry-optimized CaYSi structure.

Values from the calculation:
E: -4.92 eV per atom
Total magnetic moment: 0.00 μB/atom
Uncorrected formation energy: -0.86 eV per formula unit

a b c (Å): 7.1844 7.1845 3.4828
angles (deg): 75.97 75.97 28.06
Closest atoms and distances in Å follow each position.
Positions (direct):
Ca (0.9689, 0.9689, 0.0311)  4 Si 3.11, 4 Ca 3.48
Si (0.3279, 0.3279, 0.6721)  4 Y 2.98, 4 Ca 3.11
Y (0.7033, 0.7033, 0.2967)  4 Si 2.98

Density functional theory data (GGA-PBE) for a geometry-optimized UTcPtRh structure.

Values from the calculation:
E: -9.33 eV per atom
ΔE_f: -0.570 eV per atom
Total magnetic moment: 0.00 μB/atom

a b c (Å): 3.8857 4.0303 4.2478
angles (deg): 90.00 90.00 90.00
Closest atoms and distances in Å follow each position.
Positions (direct):
Pt (0.0000, 0.0000, 0.0000)  4 Rh 2.80, 4 Tc 2.88, 4 U 2.93
Tc (0.5000, 0.0000, 0.5000)  4 U 2.80, 4 Pt 2.88, 4 Rh 2.93
U (0.0000, 0.5000, 0.5000)  4 Tc 2.80, 4 Rh 2.88, 4 Pt 2.93
Rh (0.5000, 0.5000, 0.0000)  4 Pt 2.80, 4 U 2.88, 4 Tc 2.93

Density functional theory data (GGA-PBE) for a geometry-optimized HfAgB2Cl structure.

Values from the calculation:
E: -4.17 eV per atom
Total magnetic moment: 0.00 μB/atom
Uncorrected formation energy: 7.14 eV per formula unit

a b c (Å): 4.0375 5.4774 4.0375
angles (deg): 90.00 90.00 90.00
Closest atoms and distances in Å follow each position.
Positions (direct):
B (0.5000, 0.0000, 0.0000)  2 Ag 2.02
B (0.0000, 0.0000, 0.5000)  2 Ag 2.02
Cl (0.0000, 0.5000, 0.0000)  2 Ag 2.74, 4 Hf 2.85
Ag (0.0000, 0.0000, 0.0000)  4 B 2.02
Hf (0.5000, 0.5000, 0.5000)  4 Cl 2.85

Density functional theory data (GGA-PBE) for a geometry-optimized NaSr2IrN structure.

Values from the calculation:
E: -4.70 eV per atom
Total magnetic moment: 0.00 μB/atom
Uncorrected formation energy: -1.61 eV per formula unit

a b c (Å): 5.5628 5.5628 3.8648
angles (deg): 90.00 90.00 90.00
Closest atoms and distances in Å follow each position.
Positions (direct):
Sr (0.5000, 0.0000, 0.0000)  2 N 2.78
Sr (0.0000, 0.5000, 0.0000)  2 N 2.78
N (0.0000, 0.0000, 0.0000)  2 Ir 1.93
Na (0.5000, 0.5000, 0.5000)  8 Sr 3.39
Ir (0.0000, 0.0000, 0.5000)  2 N 1.93

Density functional theory data (GGA-PBE) for a geometry-optimized LuIn2Au structure.

Values from the calculation:
E: -3.26 eV per atom
ΔE_f: 0.055 eV per atom
Total magnetic moment: 0.00 μB/atom

a b c (Å): 3.4237 3.4237 10.7139
angles (deg): 80.81 80.81 60.00
Closest atoms and distances in Å follow each position.
Positions (direct):
Au (0.5000, 0.5000, 0.5000)  6 In 2.92
Lu (0.0000, 0.0000, 0.0000)  2 In 3.12, 6 Lu 3.42
In (0.0987, 0.0987, 0.7039)  3 Au 2.92, 1 Lu 3.12
In (0.9013, 0.9013, 0.2961)  3 Au 2.92, 1 Lu 3.12

Density functional theory data (GGA-PBE) for a geometry-optimized CdCu2PPb structure.

Values from the calculation:
E: -2.90 eV per atom
ΔE_f: 0.749 eV per atom
Total magnetic moment: 0.00 μB/atom

a b c (Å): 4.8651 4.9915 4.8651
angles (deg): 90.00 90.00 90.00
Closest atoms and distances in Å follow each position.
Positions (direct):
Cd (0.0000, 0.0000, 0.0000)  4 Cu 2.43, 2 P 2.50
P (0.0000, 0.5000, 0.0000)  2 Cd 2.50
Pb (0.5000, 0.5000, 0.5000)  4 P 3.44, 8 Cu 3.49
Cu (0.0000, 0.0000, 0.5000)  2 Cd 2.43
Cu (0.5000, 0.0000, 0.0000)  2 Cd 2.43